[1]
A geometry-optimized Ca2MgTlNi structure, computed with GGA-PBE.

Summary:
* space-group type: P4/mmm (123)
* final energy: -2.846 eV/atom
* energy of formation: -0.10 eV per atom

Structure (POSCAR):
```
Ca2MgTlNi
1.0
-1.7985 -5.0343 0.4907
3.2347 -1.5451 -3.9962
3.5690 -0.9573 3.2591
Ca Mg Tl Ni
2 1 1 1
Cartesian
1.6173 -0.7725 -1.9981
-0.8992 -2.5172 0.2454
1.7845 -0.4787 1.6295
2.5026 -3.7684 -0.1232
0.0000 0.0000 0.0000
```



[2]
A geometry-optimized CaMg2TlNi structure, computed with GGA-PBE.

Summary:
* space-group type: P4/mmm (123)
* final energy: -2.756 eV/atom
* energy of formation: -0.09 eV per atom

Structure (POSCAR):
```
CaMg2TlNi
1.0
-0.3289 -4.6849 -1.4657
-1.4492 -1.3108 4.5151
-4.8028 0.7512 -1.3235
Tl Ca Mg Ni
1 1 2 1
Cartesian
-2.4014 0.3756 -0.6617
-3.2905 -2.6223 0.8630
-0.7246 -0.6554 2.2576
-0.1644 -2.3425 -0.7328
0.0000 0.0000 0.0000
```